DFT (PBE) results for crystalline Tb5Nd12Cd2 at its relaxed geometry.

Lattice parameters (Å, degrees): 9.308 9.135 8.614 92.64 90.00 120.63
Element x y z (fractional)
Tb 0.696 0.393 0.020
Tb 0.768 0.536 0.424
Tb 0.000 0.000 0.500
Tb 0.232 0.464 0.576
Tb 0.304 0.607 0.980
Nd 0.037 0.705 0.765
Nd 0.667 0.705 0.765
Nd 0.179 0.748 0.326
Nd 0.821 0.252 0.674
Nd 0.963 0.295 0.235
Nd 0.432 0.252 0.674
Nd 0.080 0.160 0.882
Nd 0.568 0.748 0.326
Nd 0.442 0.884 0.670
Nd 0.333 0.295 0.235
Nd 0.920 0.840 0.118
Nd 0.558 0.116 0.330
Cd 0.331 0.000 0.000
Cd 0.669 0.000 0.000

Output
The density of states at the Fermi level comes out at 28.2 states/eV/cell. The total energy comes out at -4.288 eV/atom.

=====

DFT (PBE) results for crystalline Ta2HIr at its relaxed geometry.

Lattice parameters (Å, degrees): 4.827 4.827 6.457 68.05 68.05 90.00
Element x y z (fractional)
Ta 0.375 0.495 0.750
Ta 0.505 0.125 0.250
Ta 0.875 0.755 0.750
Ta 0.245 0.625 0.250
Ir 0.750 0.250 0.500
Ir 0.000 0.000 0.000
H 0.250 0.750 0.500
H 0.500 0.500 0.000

Output
The density of states at the Fermi level comes out at 5.1 states/eV/cell. The distance to the lowest polymorph of the same formula comes out at 600.2 meV/atom. The total energy comes out at -8.595 eV/atom.

=====

DFT (PBE) results for crystalline ZrBiPdC2 at its relaxed geometry.

Lattice parameters (Å, degrees): 4.074 5.587 4.074 90.00 90.00 90.00
Last column: magnetic moment on the atom in μB.
Element x y z (fractional)
Pd 0.000 0.000 0.000  0.10
C 0.000 0.000 0.500  0.23
C 0.500 0.000 0.000  0.10
Zr 0.000 0.500 0.000  0.07
Bi 0.500 0.500 0.500  -0.02

Output
The density of states at the Fermi level comes out at 2.5 states/eV/cell. The total energy comes out at -5.671 eV/atom.

=====

DFT (PBE) results for crystalline Cs2PmBr4 at its relaxed geometry.

Lattice parameters (Å, degrees): 4.149 9.211 15.394 90.00 90.00 90.00
Last column: magnetic moment on the atom in μB.
Element x y z (fractional)
Br 0.000 0.608 0.820  0.00
Br 0.500 0.231 0.454  0.00
Br 0.500 0.269 0.954  0.00
Br 0.000 0.392 0.180  0.00
Br 0.500 0.769 0.546  0.00
Br 0.000 0.892 0.320  0.00
Br 0.500 0.731 0.046  0.00
Br 0.000 0.108 0.680  0.00
Pm 0.000 0.000 0.500  0.10
Pm 0.000 0.500 0.000  0.10
Cs 0.500 0.077 0.167  0.00
Cs 0.500 0.923 0.833  0.00
Cs 0.500 0.423 0.667  0.00
Cs 0.500 0.577 0.333  0.00

Output
The density of states at the Fermi level comes out at 3.4 states/eV/cell. The distance to the lowest polymorph of the same formula comes out at 15.7 meV/atom. The total energy comes out at -3.545 eV/atom. The value obtained for the uncorrected formation energy is -1.667 eV per atom.

=====

DFT (PBE) results for crystalline TiN3O at its relaxed geometry.

Lattice parameters (Å, degrees): 3.440 3.440 3.440 90.00 90.00 90.00
Element x y z (fractional)
Ti 0.500 0.500 0.500
N 0.500 0.000 0.000
N 0.000 0.500 0.000
N 0.000 0.000 0.500
O 0.000 0.000 0.000

Output
The density of states at the Fermi level comes out at 1.8 states/eV/cell. The total energy comes out at -5.996 eV/atom. The value obtained for the uncorrected formation energy is 1.570 eV per atom.

=====

DFT (PBE) results for crystalline KAg2Bi at its relaxed geometry.

Lattice parameters (Å, degrees): 5.026 5.026 6.587 67.57 67.57 60.00
Element x y z (fractional)
Bi 0.000 0.000 0.000
K 0.500 0.500 0.500
Ag 0.692 0.692 0.923
Ag 0.308 0.308 0.077

Output
The density of states at the Fermi level comes out at 1.8 states/eV/cell. The total energy comes out at -2.745 eV/atom.

=====

DFT (PBE) results for crystalline Ta3Pd2Pt2 at its relaxed geometry.

Lattice parameters (Å, degrees): 4.157 2.804 10.026 90.02 78.04 90.00
Element x y z (fractional)
Ta 0.149 0.000 0.702
Ta 0.851 0.000 0.298
Ta 0.000 0.000 0.000
Pd 0.290 0.500 0.419
Pd 0.710 0.500 0.581
Pt 0.571 0.500 0.857
Pt 0.429 0.500 0.143

Output
The density of states at the Fermi level comes out at 5.2 states/eV/cell. The total energy comes out at -8.771 eV/atom.

=====

DFT (PBE) results for crystalline Nd5AlGe2 at its relaxed geometry.

Lattice parameters (Å, degrees): 7.961 7.961 9.117 115.89 115.89 90.00
Element x y z (fractional)
Ge 0.124 0.376 0.000
Ge 0.624 0.124 0.000
Ge 0.876 0.624 0.000
Ge 0.376 0.876 0.000
Nd 0.318 0.818 0.287
Nd 0.500 0.500 0.000
Nd 0.031 0.531 0.713
Nd 0.469 0.318 0.287
Nd 0.531 0.682 0.713
Nd 0.182 0.031 0.713
Nd 0.969 0.469 0.287
Nd 0.682 0.182 0.713
Nd 0.000 0.000 0.000
Nd 0.818 0.969 0.287
Al 0.750 0.750 0.500
Al 0.250 0.250 0.500

Output
The density of states at the Fermi level comes out at 14.3 states/eV/cell. The total energy comes out at -5.149 eV/atom.

=====

DFT (PBE) results for crystalline LiSiW2 at its relaxed geometry.

Lattice parameters (Å, degrees): 4.686 4.686 4.815 82.86 82.86 33.43
Element x y z (fractional)
Si 0.253 0.253 0.258
W 0.750 0.750 0.743
W 0.991 0.991 0.007
Li 0.507 0.507 0.493

Output
The density of states at the Fermi level comes out at 2.2 states/eV/cell. The total energy comes out at -8.086 eV/atom. The value obtained for the uncorrected formation energy is 0.224 eV per atom.

=====

DFT (PBE) results for crystalline Tm5In2Ir2Pt at its relaxed geometry.

Lattice parameters (Å, degrees): 3.556 11.503 11.503 90.00 90.00 90.00
Element x y z (fractional)
Tm 0.500 0.930 0.196
Tm 0.500 0.500 0.000
Tm 0.500 0.570 0.696
Tm 0.500 0.196 0.070
Tm 0.500 0.430 0.304
Tm 0.500 0.070 0.804
Tm 0.500 0.304 0.570
Tm 0.500 0.804 0.930
Tm 0.500 0.696 0.430
Tm 0.500 0.000 0.500
In 0.000 0.825 0.675
In 0.000 0.325 0.825
In 0.000 0.675 0.175
In 0.000 0.175 0.325
Ir 0.000 0.364 0.136
Ir 0.000 0.136 0.636
Ir 0.000 0.636 0.864
Ir 0.000 0.864 0.364
Pt 0.000 0.500 0.500
Pt 0.000 0.000 0.000

Output
The density of states at the Fermi level comes out at 10.7 states/eV/cell. The total energy comes out at -5.938 eV/atom.

=====

DFT (PBE) results for crystalline KTa4As at its relaxed geometry.

Lattice parameters (Å, degrees): 5.701 5.701 5.701 60.00 60.00 60.00
Element x y z (fractional)
Ta 0.370 0.370 0.370
Ta 0.370 0.890 0.370
Ta 0.890 0.370 0.370
Ta 0.370 0.370 0.890
K 0.000 0.000 0.000
As 0.750 0.750 0.750

Output
The density of states at the Fermi level comes out at 5.5 states/eV/cell. The total energy comes out at -7.793 eV/atom.

=====

DFT (PBE) results for crystalline Sr2TlCuF at its relaxed geometry.

Lattice parameters (Å, degrees): 5.029 5.128 5.029 90.00 90.00 90.00
Element x y z (fractional)
Sr 0.000 0.000 0.500
Sr 0.500 0.000 0.000
Cu 0.000 0.500 0.000
Tl 0.500 0.500 0.500
F 0.000 0.000 0.000

Output
The density of states at the Fermi level comes out at 2.5 states/eV/cell. The total energy comes out at -3.316 eV/atom. The value obtained for the uncorrected formation energy is -0.976 eV per atom.

=====

Copy entry 5 word for word.
DFT (PBE) results for crystalline TiN3O at its relaxed geometry.

Lattice parameters (Å, degrees): 3.440 3.440 3.440 90.00 90.00 90.00
Element x y z (fractional)
Ti 0.500 0.500 0.500
N 0.500 0.000 0.000
N 0.000 0.500 0.000
N 0.000 0.000 0.500
O 0.000 0.000 0.000

Output
The density of states at the Fermi level comes out at 1.8 states/eV/cell. The total energy comes out at -5.996 eV/atom. The value obtained for the uncorrected formation energy is 1.570 eV per atom.